Run P
Below is Ce2ScGa after structural relaxation, with properties calculated at the PBE-GGA level.

a = 6.691 Å, b = 6.691 Å, c = 4.987 Å
α = 90.00°, β = 90.00°, γ = 124.30°
Sites, in units of the cell vectors:
Ce  0.167  0.289  0.250
Ce  0.289  0.167  0.750
Ce  0.711  0.833  0.250
Ce  0.833  0.711  0.750
Sc  0.310  0.690  0.750
Sc  0.690  0.310  0.250
Ga  0.184  0.816  0.250
Ga  0.816  0.184  0.750

Calculated values
SG: Cmcm
Total magnetization (μB/f.u.): 0.000

---

Run Q
Below is Ce2ScGa after structural relaxation, with properties calculated at the PBE-GGA level.

a = 3.938 Å, b = 3.938 Å, c = 6.606 Å
α = 90.00°, β = 90.00°, γ = 90.00°
Sites, in units of the cell vectors:
Ce  0.000  0.000  0.211
Ce  0.000  0.000  0.789
Sc  0.500  0.500  0.500
Ga  0.500  0.500  0.000

Calculated values
SG: P4/mmm
Total magnetization (μB/f.u.): 1.482

---

Run R
Below is Ce2ScGa after structural relaxation, with properties calculated at the PBE-GGA level.

a = 11.964 Å, b = 11.964 Å, c = 11.964 Å
α = 15.16°, β = 15.16°, γ = 15.16°
Sites, in units of the cell vectors:
Ce  0.087  0.087  0.087
Ce  0.913  0.913  0.913
Sc  0.500  0.500  0.500
Ga  0.000  0.000  0.000

Calculated values
SG: R-3m
Total magnetization (μB/f.u.): 0.906

---

Run S
Below is Ce2ScGa after structural relaxation, with properties calculated at the PBE-GGA level.

a = 4.306 Å, b = 4.306 Å, c = 4.976 Å
α = 90.00°, β = 90.00°, γ = 90.00°
Sites, in units of the cell vectors:
Ce  0.000  0.500  0.000
Ce  0.500  0.000  0.000
Sc  0.000  0.000  0.500
Ga  0.500  0.500  0.500

Calculated values
SG: P4/mmm
Total magnetization (μB/f.u.): 0.817

---

Need the numbers? Relative energies in meV/atom: run P 0; run Q 151; run R 494; run S 45.

---

Run P
Below is Ce2ScGa2 after structural relaxation, with properties calculated at the PBE-GGA level.

a = 6.126 Å, b = 3.393 Å, c = 11.545 Å
α = 90.00°, β = 91.69°, γ = 90.00°
Sites, in units of the cell vectors:
Ce  0.101  0.250  0.171
Ce  0.261  0.250  0.402
Ce  0.739  0.750  0.598
Ce  0.899  0.750  0.829
Sc  0.415  0.250  0.790
Sc  0.585  0.750  0.210
Ga  0.230  0.750  0.620
Ga  0.327  0.750  0.987
Ga  0.673  0.250  0.013
Ga  0.770  0.250  0.380

Calculated values
SG: P2_1/m
Total magnetization (μB/f.u.): 0.708

---

Run Q
Below is Ce2ScGa2 after structural relaxation, with properties calculated at the PBE-GGA level.

a = 7.480 Å, b = 7.480 Å, c = 4.423 Å
α = 90.00°, β = 90.00°, γ = 90.00°
Sites, in units of the cell vectors:
Ce  0.170  0.330  0.000
Ce  0.330  0.830  0.000
Ce  0.670  0.170  0.000
Ce  0.830  0.670  0.000
Sc  0.000  0.000  0.500
Sc  0.500  0.500  0.500
Ga  0.127  0.627  0.500
Ga  0.373  0.127  0.500
Ga  0.627  0.873  0.500
Ga  0.873  0.373  0.500

Calculated values
SG: P4/mbm
Total magnetization (μB/f.u.): 1.103

---

Need the numbers? Relative energies in meV/atom: run P 138; run Q 0.